# Lu3CSN, optimized geometry, DFT GGA-PBE
# **Theoretical density**: 10070 kg/m3
# **DFT total energy**: -7.289 eV per atom
data_Lu3CSN
_space_group_name_H-M_alt 'P -3 m 1'
_space_group_IT_number 164
_space_group_name_Hall '-P 3 2"'
_cell_length_a 3.5025
_cell_length_b 3.5025
_cell_length_c 18.0970
_cell_angle_alpha 90.00
_cell_angle_beta 90.00
_cell_angle_gamma 120.00
loop_
_atom_site_label
_atom_site_type_symbol
_atom_site_fract_x
_atom_site_fract_y
_atom_site_fract_z
Lu1 Lu 0.0000 0.0000 0.0000
Lu2 Lu 0.0000 0.0000 0.5000
Lu3 Lu 0.3333 0.6667 0.1446
Lu4 Lu 0.3333 0.6667 0.3504
C1 C 0.3333 0.6667 0.5828
S1 S 0.0000 0.0000 0.2420
N1 N 0.3333 0.6667 0.9237